No. 1
Material: ZrCoPt3
Method: DFT, GGA-PBEsol
State: relaxed

The structure in POSCAR format:
```
ZrCoPt3
1.0
4.4829 0.0000 0.0000
0.0000 4.4829 0.0000
0.0000 0.0000 4.4829
Zr Co Pt
1 1 3
direct
0.0000 0.0000 0.0000
0.5000 0.5000 0.5000
0.0000 0.5000 0.5000
0.5000 0.0000 0.5000
0.5000 0.5000 0.0000
```

## Properties
V ... 18.0 A^3/atom
Crystal system ... cubic
D(E_F) ... 1.1845 states/eV/atom
Mass density ... 13.555 Mg/m³
E_form ... 0.428 eV/atom

No. 2
Material: ZrCo4Pt
Method: DFT, GGA-PBEsol
State: relaxed

The structure in POSCAR format:
```
ZrCo4Pt
1.0
0.0000 3.3550 3.3550
3.3550 0.0000 3.3550
3.3550 3.3550 0.0000
Zr Co Pt
1 4 1
direct
0.0000 0.0000 0.0000
0.3763 0.3763 0.3763
0.3763 0.3763 0.8711
0.3763 0.8711 0.3763
0.8711 0.3763 0.3763
0.7500 0.7500 0.7500
```

## Properties
V ... 12.6 A^3/atom
Crystal system ... cubic
D(E_F) ... 1.4096 states/eV/atom
Mass density ... 11.477 Mg/m³
E_form ... -0.344 eV/atom

No. 3
Material: ZrCoPt4
Method: DFT, GGA-PBEsol
State: relaxed

The structure in POSCAR format:
```
ZrCoPt4
1.0
0.0000 3.6480 3.6480
3.6480 0.0000 3.6480
3.6480 3.6480 0.0000
Zr Co Pt
1 1 4
direct
0.0000 0.0000 0.0000
0.7500 0.7500 0.7500
0.3756 0.3756 0.3756
0.3756 0.3756 0.8732
0.3756 0.8732 0.3756
0.8732 0.3756 0.3756
```

## Properties
V ... 16.2 A^3/atom
Crystal system ... cubic
D(E_F) ... 1.1625 states/eV/atom
Mass density ... 15.913 Mg/m³
E_form ... -0.344 eV/atom

No. 4
Material: ZrCoPt
Method: DFT, GGA-PBEsol
State: relaxed

The structure in POSCAR format:
```
ZrCoPt
1.0
6.0539 0.0000 0.0000
0.0000 6.0539 0.0000
0.0000 0.0000 6.0539
Zr Co Pt
4 4 4
direct
0.0000 0.0000 0.0000
0.0000 0.5000 0.5000
0.5000 0.0000 0.5000
0.5000 0.5000 0.0000
0.0000 0.0000 0.5000
0.0000 0.5000 0.0000
0.5000 0.0000 0.0000
0.5000 0.5000 0.5000
0.2500 0.2500 0.7500
0.2500 0.7500 0.2500
0.7500 0.2500 0.2500
0.7500 0.7500 0.7500
```

## Properties
V ... 18.5 A^3/atom
Crystal system ... cubic
D(E_F) ... 1.6971 states/eV/atom
Mass density ... 10.336 Mg/m³
E_form ... -0.100 eV/atom

No. 5
Material: RbCoRe3
Method: DFT, GGA-PBEsol
State: relaxed

The structure in POSCAR format:
```
RbCoRe3
1.0
4.5644 0.0000 0.0000
0.0000 4.5644 0.0000
0.0000 0.0000 4.5644
Rb Co Re
1 1 3
direct
0.0000 0.0000 0.0000
0.5000 0.5000 0.5000
0.0000 0.5000 0.5000
0.5000 0.0000 0.5000
0.5000 0.5000 0.0000
```

## Properties
V ... 19.0 A^3/atom
Crystal system ... cubic
D(E_F) ... 1.4427 states/eV/atom
Mass density ... 12.276 Mg/m³
E_form ... 2.288 eV/atom

No. 6
Material: RbCo2Re2
Method: DFT, GGA-PBEsol
State: relaxed

The structure in POSCAR format:
```
RbCo2Re2
1.0
3.8774 0.0000 0.0000
0.0000 3.8774 0.0000
0.0000 0.0000 13.6859
Rb Co Re
2 4 4
direct
0.0000 0.0000 0.0000
0.5000 0.5000 0.5000
0.0000 0.0000 0.3498
0.0000 0.0000 0.6502
0.5000 0.5000 0.1502
0.5000 0.5000 0.8498
0.0000 0.5000 0.2500
0.0000 0.5000 0.7500
0.5000 0.0000 0.2500
0.5000 0.0000 0.7500
```

## Properties
V ... 20.6 A^3/atom
Crystal system ... tetragonal
D(E_F) ... 1.3597 states/eV/atom
Mass density ... 9.293 Mg/m³
E_form ... 0.985 eV/atom